HoAu2O4 (PBE-GGA, relaxed); electronic total energy = -79.97 eV per cell
1.0
-2.0268 4.7391 -3.9508
-4.7611 -0.0476 4.4165
5.4894 0.5766 2.1237
O Au Ho
8 4 2
Direct
0.5114 0.1423 0.2577
0.2459 0.1050 0.5763
0.8577 0.4886 0.2423
0.7541 0.8950 0.4237
0.4886 0.8577 0.7423
0.1050 0.2459 0.0763
0.1423 0.5114 0.7577
0.8950 0.7541 0.9237
0.0000 0.5000 0.0000
0.5000 0.5000 0.0000
0.5000 0.0000 0.5000
0.5000 0.5000 0.5000
0.8755 0.1245 0.2500
0.1245 0.8755 0.7500